(1)
An optimized crystal structure of Ta2Nb5Fe2Tc, computed with PBE-GGA.

Properties
calculated formation energy = 32 kJ/mol of formula units

a = 10.2374 Å, b = 10.2374 Å, c = 3.2249 Å
α = 90.00°, β = 90.00°, γ = 90.00°
Space group P4/mbm (No. 127)
Inequivalent atoms, fractional coordinates:
Ta1 0.1750 0.3250 0.0000 x4
Nb1 0.0000 0.5000 0.5000 x2
Nb2 0.0634 0.7969 0.5000 x8
Fe1 0.1288 0.6288 0.0000 x4
Tc1 0.0000 0.0000 0.0000 x2

***

(2)
An optimized crystal structure of Ac4Ga2H, computed with PBE-GGA.

Properties
total DFT energy (no corrections) = -55.7 eV/cell

a = 5.0030 Å, b = 5.0030 Å, c = 17.4924 Å
α = 90.00°, β = 90.00°, γ = 90.00°
Space group I4/mmm (No. 139)
Inequivalent atoms, fractional coordinates:
Ac1 0.0000 0.0000 0.1855 x4
Ac2 0.0000 0.5000 0.0000 x4
Ga1 0.0000 0.0000 0.3680 x4
H1 0.0000 0.0000 0.0000 x2

***

(3)
An optimized crystal structure of BaSn8Pd2, computed with PBE-GGA.

Properties
distance to the lowest polymorph of the same formula = 0.0000 eV per atom
calculated formation energy = -269 kJ/mol of formula units

a = 9.2292 Å, b = 11.7389 Å, c = 5.7141 Å
α = 90.00°, β = 97.73°, γ = 90.00°
Space group C2/m (No. 12)
Inequivalent atoms, fractional coordinates:
Ba1 0.0000 0.0000 0.0000 x2
Sn1 0.0000 0.2967 0.0000 x4
Sn2 0.1299 0.5000 0.7482 x4
Sn3 0.2214 0.1412 0.6379 x8
Pd1 0.0000 0.3071 0.5000 x4

***

(4)
An optimized crystal structure of TiRu3I, computed with PBE-GGA.

Properties
distance to the lowest polymorph of the same formula = 0.3604 eV per atom
formation energy (no corrections) = 8.46 eV/f.u.

a = 4.7366 Å, b = 4.7366 Å, c = 4.7366 Å
α = 90.00°, β = 90.00°, γ = 90.00°
Space group Pm-3m (No. 221)
Inequivalent atoms, fractional coordinates:
Ti1 0.0000 0.0000 0.0000 x1
Ru1 0.0000 0.5000 0.5000 x3
I1 0.5000 0.5000 0.5000 x1

***

(5)
An optimized crystal structure of Ni2Pd6Pt, computed with PBE-GGA.

Properties
distance to the lowest polymorph of the same formula = 0.0000 eV per atom
calculated formation energy = 11 kJ/mol of formula units

a = 8.7188 Å, b = 3.9085 Å, c = 8.1869 Å
α = 90.00°, β = 109.90°, γ = 90.00°
Space group C2/m (No. 12)
Inequivalent atoms, fractional coordinates:
Ni1 0.1586 0.0000 0.0545 x4
Pd1 0.0167 0.5000 0.8457 x4
Pd2 0.1611 0.0000 0.3833 x4
Pd3 0.1807 0.0000 0.7391 x4
Pt1 0.0000 0.5000 0.5000 x2

***

(6)
An optimized crystal structure of Cu2SnHIr, computed with PBE-GGA.

Properties
total DFT energy (no corrections) = -24.1 eV/cell

a = 4.0117 Å, b = 4.0117 Å, c = 3.8757 Å
α = 90.00°, β = 90.00°, γ = 90.00°
Space group P4/mmm (No. 123)
Inequivalent atoms, fractional coordinates:
Cu1 0.0000 0.5000 0.0000 x2
Sn1 0.0000 0.0000 0.5000 x1
H1 0.5000 0.5000 0.0000 x1
Ir1 0.5000 0.5000 0.5000 x1

***

(7)
An optimized crystal structure of ZrP3Ru, computed with PBE-GGA.

Properties
distance to the lowest polymorph of the same formula = 0.0000 eV per atom
calculated formation energy = 187 kJ/mol of formula units

a = 4.5665 Å, b = 4.5665 Å, c = 4.5665 Å
α = 90.00°, β = 90.00°, γ = 90.00°
Space group Pm-3m (No. 221)
Inequivalent atoms, fractional coordinates:
Zr1 0.0000 0.0000 0.0000 x1
P1 0.0000 0.5000 0.5000 x3
Ru1 0.5000 0.5000 0.5000 x1

***

(8)
An optimized crystal structure of BaCu2Pd, computed with PBE-GGA.

Properties
distance to the lowest polymorph of the same formula = 0.4596 eV per atom
calculated formation energy = 89 kJ/mol of formula units

a = 7.0022 Å, b = 7.0022 Å, c = 7.0022 Å
α = 90.00°, β = 90.00°, γ = 90.00°
Space group Fm-3m (No. 225)
Inequivalent atoms, fractional coordinates:
Ba1 0.0000 0.0000 0.0000 x4
Cu1 0.2500 0.2500 0.2500 x8
Pd1 0.0000 0.0000 0.5000 x4

***

(9)
An optimized crystal structure of NbSn2Pd, computed with PBE-GGA.

Properties
distance to the lowest polymorph of the same formula = 0.0000 eV per atom
calculated formation energy = -81 kJ/mol of formula units

a = 4.6216 Å, b = 4.6216 Å, c = 3.5989 Å
α = 90.00°, β = 90.00°, γ = 90.00°
Space group P4/mmm (No. 123)
Inequivalent atoms, fractional coordinates:
Nb1 0.0000 0.0000 0.0000 x1
Sn1 0.0000 0.5000 0.5000 x2
Pd1 0.5000 0.5000 0.0000 x1

***

(10)
An optimized crystal structure of La2InBr, computed with PBE-GGA.

Properties
distance to the lowest polymorph of the same formula = 0.0632 eV per atom
formation energy (no corrections) = -3.28 eV/f.u.

a = 3.9951 Å, b = 3.9951 Å, c = 27.4111 Å
α = 90.00°, β = 90.00°, γ = 120.00°
Space group R-3m (No. 166, hexagonal axes)
Inequivalent atoms, fractional coordinates:
La1 0.0000 0.0000 0.2466 x6
In1 0.0000 0.0000 0.0000 x3
Br1 0.0000 0.0000 0.5000 x3

***

(11)
An optimized crystal structure of Rb2Tl2Pb, computed with PBE-GGA.

Properties
distance to the lowest polymorph of the same formula = 0.0534 eV per atom
calculated formation energy = -25 kJ/mol of formula units

a = 8.3316 Å, b = 8.3316 Å, c = 6.1171 Å
α = 90.00°, β = 90.00°, γ = 90.00°
Space group P4/mbm (No. 127)
Inequivalent atoms, fractional coordinates:
Rb1 0.1814 0.3186 0.0000 x4
Tl1 0.1332 0.6332 0.5000 x4
Pb1 0.0000 0.0000 0.5000 x2

***

(12)
An optimized crystal structure of KSc2Se, computed with PBE-GGA.

Properties
formation energy (no corrections) = -1.43 eV/f.u.

a = 9.5286 Å, b = 3.5336 Å, c = 8.0141 Å
α = 90.00°, β = 108.57°, γ = 90.00°
Space group Cm (No. 8)
Inequivalent atoms, fractional coordinates:
K1 0.0000 0.0000 0.0000 x2
Sc1 0.1581 0.0000 0.6342 x2
Sc2 0.3885 0.0000 0.4248 x2
Se1 0.1581 0.5000 0.3702 x2